VASP calculation (PBE-GGA) on a relaxed Tb3Er4Tl4 crystal.

Results
Total magnetic moment (Bohr magnetons per cell): 3.40
Formation enthalpy at 0 K (eV per atom): -0.218

Cell lengths 3.7157, 9.5810, 18.2529 Å; angles 90.00, 90.00, 90.00 degrees
With the nearest neighbours (Å) after each atom.
Space group Immm (No. 71)
Inequivalent atoms, fractional coordinates:
1 Tb 0.0000 0.0000 0.0000 (multiplicity 2)  4 Tl 3.25
2 Tb 0.0000 0.5000 0.0992 (multiplicity 4)  6 Tl 3.15-3.35
3 Er 0.0000 0.3038 0.3344 (multiplicity 8)  4 Tl 3.12-3.20
4 Tl 0.0000 0.0000 0.2611 (multiplicity 4)  2 Tb 3.15, 6 Er 3.17-3.20
5 Tl 0.0000 0.2215 0.5000 (multiplicity 4)  2 Er 3.12, 6 Tb 3.25-3.35